Below is crystalline Be2IrW2 at its relaxed geometry, with properties calculated at the GGA-PBE level.

For the energy relative to the lowest polymorph listed for this composition, the calculation gives 0 meV per atom. For the density of states at the Fermi level, the calculation gives 0.64 states/eV/atom. The calculation puts the size of the total moment at 0.00 Bohr magnetons per cell. The calculated formation energy comes out at -0.21 eV per atom.

The structure belongs to space group P4/mbm (No. 127); the cell edges are 5.876, 5.876 and 3.576 Å and the angles 90.00°, 90.00° and 90.00°. The distinct sites, in fractional coordinates, are Be at (0.128, 0.372, 0.000), Ir at (0.000, 0.000, 0.000) and W at (0.168, 0.668, 0.500).



Below is crystalline SmPuZnHg at its relaxed geometry, with properties calculated at the GGA-PBE level.

For the density of states at the Fermi level, the calculation gives 2.47 states/eV/atom. The calculation puts the size of the total moment at 24.92 Bohr magnetons per cell. The calculated formation energy comes out at -0.19 eV per atom.

The structure belongs to space group F-43m (No. 216); the cell edges are 7.420, 7.420 and 7.420 Å and the angles 90.00°, 90.00° and 90.00°. The distinct sites, in fractional coordinates, are Sm at (0.000, 0.000, 0.000), Pu at (0.000, 0.000, 0.500), Zn at (0.250, 0.250, 0.750) and Hg at (0.250, 0.250, 0.250).



Below is crystalline UBeN at its relaxed geometry, with properties calculated at the GGA-PBE level.

For the density of states at the Fermi level, the calculation gives 1.47 states/eV/atom. The calculation puts the size of the total moment at 4.68 Bohr magnetons per cell. For the uncorrected formation energy, the calculation gives -49.2 kJ per mole of atoms.

The structure belongs to space group Cmcm (No. 63); the cell edges are 3.841, 11.806 and 3.925 Å and the angles 90.00°, 90.00° and 90.00°. The distinct sites, in fractional coordinates, are U at (0.000, 0.155, 0.250), Be at (0.000, 0.469, 0.250) and N at (0.000, 0.246, 0.750).



Below is crystalline Zn2Cu2Tc at its relaxed geometry, with properties calculated at the GGA-PBE level.

For the energy relative to the lowest polymorph listed for this composition, the calculation gives 0 meV per atom. For the density of states at the Fermi level, the calculation gives 0.47 states/eV/atom. The calculation puts the size of the total moment at 0.00 Bohr magnetons per cell. The calculated formation energy comes out at 0.13 eV per atom.

The structure belongs to space group P4/mbm (No. 127); the cell edges are 7.217, 7.217 and 2.561 Å and the angles 90.00°, 90.00° and 90.00°. The distinct sites, in fractional coordinates, are Zn at (0.176, 0.324, 0.000), Cu at (0.121, 0.621, 0.500) and Tc at (0.000, 0.000, 0.500).



Below is crystalline Ta8VGa2 at its relaxed geometry, with properties calculated at the GGA-PBE level.

For the density of states at the Fermi level, the calculation gives 0.76 states/eV/atom. The calculation puts the size of the total moment at 0.00 Bohr magnetons per cell. The calculated formation energy comes out at -0.06 eV per atom.

The structure belongs to space group C2/m (No. 12); the cell edges are 13.400, 4.668 and 7.213 Å and the angles 90.00°, 122.10° and 90.00°. The distinct sites, in fractional coordinates, are Ta at (0.041, 0.000, 0.228), Ta at (0.095, 0.500, 0.938), Ta at (0.136, 0.000, 0.688), Ta at (0.175, 0.500, 0.393), V at (0.000, 0.500, 0.500) and Ga at (0.223, 0.000, 0.158).



Below is crystalline YPSe2 at its relaxed geometry, with properties calculated at the GGA-PBE level.

For the density of states at the Fermi level, the calculation gives 0.81 states/eV/atom. The calculation puts the size of the total moment at 0.00 Bohr magnetons per cell. For the uncorrected formation energy, the calculation gives -58.0 kJ per mole of atoms.

The structure belongs to space group P4mm (No. 99); the cell edges are 3.925, 3.925 and 5.875 Å and the angles 90.00°, 90.00° and 90.00°. The distinct sites, in fractional coordinates, are Y at (0.000, 0.000, 0.000), P at (0.500, 0.500, 0.181), Se at (0.000, 0.000, 0.486) and Se at (0.500, 0.500, 0.779).



Below is crystalline LiCr2Os at its relaxed geometry, with properties calculated at the GGA-PBE level.

For the density of states at the Fermi level, the calculation gives 1.09 states/eV/atom. The calculation puts the size of the total moment at 0.00 Bohr magnetons per cell. The calculated formation energy comes out at 0.48 eV per atom.

The structure belongs to space group P4/mmm (No. 123); the cell edges are 2.625, 2.625 and 8.054 Å and the angles 90.00°, 90.00° and 90.00°. The distinct sites, in fractional coordinates, are Li at (0.000, 0.000, 0.000), Cr at (0.500, 0.500, 0.275) and Os at (0.000, 0.000, 0.500).



Below is crystalline Rb2SbAu2 at its relaxed geometry, with properties calculated at the GGA-PBE level.

For the energy relative to the lowest polymorph listed for this composition, the calculation gives 40 meV per atom. For the density of states at the Fermi level, the calculation gives 0.25 states/eV/atom. The calculation puts the size of the total moment at 0.00 Bohr magnetons per cell. For the uncorrected formation energy, the calculation gives -26.8 kJ per mole of atoms.

The structure belongs to space group P4/mbm (No. 127); the cell edges are 7.482, 7.482 and 5.630 Å and the angles 90.00°, 90.00° and 90.00°. The distinct sites, in fractional coordinates, are Rb at (0.176, 0.324, 0.000), Sb at (0.000, 0.000, 0.500) and Au at (0.137, 0.637, 0.500).



Below is crystalline Ba2NaCu2 at its relaxed geometry, with properties calculated at the GGA-PBE level.

For the energy relative to the lowest polymorph listed for this composition, the calculation gives 174 meV per atom. For the density of states at the Fermi level, the calculation gives 0.78 states/eV/atom. The calculation puts the size of the total moment at 0.00 Bohr magnetons per cell. The calculated formation energy comes out at 0.14 eV per atom.

The structure belongs to space group I4/mmm (No. 139); the cell edges are 6.253, 6.253 and 8.931 Å and the angles 90.00°, 90.00° and 90.00°. The distinct sites, in fractional coordinates, are Ba at (0.000, 0.500, 0.250), Na at (0.000, 0.000, 0.000) and Cu at (0.000, 0.000, 0.366).



Below is crystalline SmEr6Tm5 at its relaxed geometry, with properties calculated at the GGA-PBE level.

For the density of states at the Fermi level, the calculation gives 1.38 states/eV/atom. The calculation puts the size of the total moment at 0.00 Bohr magnetons per cell. The calculated formation energy comes out at 0.02 eV per atom.

The structure belongs to space group C2/m (No. 12); the cell edges are 6.075, 10.510 and 11.630 Å and the angles 90.00°, 100.01° and 90.00°. The distinct sites, in fractional coordinates, are Sm at (0.000, 0.000, 0.000), Er at (0.250, 0.000, 0.749), Er at (0.250, 0.167, 0.251), Tm at (0.000, 0.167, 0.500), Tm at (0.000, 0.333, 0.000) and Tm at (0.000, 0.500, 0.500).



Below is crystalline KLiEr2Te4 at its relaxed geometry, with properties calculated at the GGA-PBE level.

The calculation puts the size of the total moment at 0.00 Bohr magnetons per cell. For the uncorrected formation energy, the calculation gives -125.4 kJ per mole of atoms.

The structure belongs to space group Cmcm (No. 63); the cell edges are 4.440, 14.848 and 15.617 Å and the angles 90.00°, 90.00° and 90.00°. The distinct sites, in fractional coordinates, are K at (0.000, 0.115, 0.250), Li at (0.000, 0.164, 0.750), Er at (0.000, 0.367, 0.065), Te at (0.000, 0.000, 0.000), Te at (0.000, 0.267, 0.608) and Te at (0.000, 0.437, 0.250).



What is the size of the total moment in the first record?
0.00 Bohr magnetons per cell



size of the total moment of number 7 (LiCr2Os)?
0.00 Bohr magnetons per cell



Which of these has the highest size of the total moment?
SmPuZnHg